Below is a geometry-optimized CsTe3Se3 structure, with properties calculated at the PBE level.

Values from the calculation:
Energy relative to the elements, uncorrected, eV per atom: -0.233
E above lowest polymorph, meV per atom: 0.0
Total moment, μB/cell: 0.00

Lattice parameters (Å, degrees): 10.8266 10.8266 10.8266 44.43 44.43 44.43
Fractional coordinates of all 14 atoms:
Cs 0.1560 0.1560 0.1560
Cs 0.8440 0.8440 0.8440
Te 0.1137 0.1174 0.6330
Te 0.1174 0.6330 0.1137
Te 0.3670 0.8863 0.8826
Te 0.6330 0.1137 0.1174
Te 0.8826 0.3670 0.8863
Te 0.8863 0.8826 0.3670
Se 0.0902 0.5738 0.5778
Se 0.4222 0.9098 0.4262
Se 0.4262 0.4222 0.9098
Se 0.5738 0.5778 0.0902
Se 0.5778 0.0902 0.5738
Se 0.9098 0.4262 0.4222

---

Below is a geometry-optimized CsTe4Se7 structure, with properties calculated at the PBE level.

Values from the calculation:
Energy relative to the elements, uncorrected, eV per atom: -0.117
Total moment, μB/cell: 0.00

Lattice parameters (Å, degrees): 17.0636 7.2818 7.0484 90.00 90.00 90.00
Fractional coordinates of all 24 atoms:
Cs 0.0000 0.1735 0.0000
Cs 0.5000 0.8265 0.5000
Te 0.1101 0.5921 0.4915
Te 0.2246 0.8127 0.0996
Te 0.2754 0.1873 0.5996
Te 0.3899 0.4079 0.9915
Te 0.6101 0.4079 0.9915
Te 0.7246 0.1873 0.5996
Te 0.7754 0.8127 0.0996
Te 0.8899 0.5921 0.4915
Se 0.0000 0.6710 0.2101
Se 0.0730 0.2518 0.5013
Se 0.1047 0.6976 0.9050
Se 0.2273 0.1473 0.0342
Se 0.2727 0.8527 0.5342
Se 0.3953 0.3024 0.4050
Se 0.4270 0.7482 0.0013
Se 0.5000 0.3290 0.7101
Se 0.5730 0.7482 0.0013
Se 0.6047 0.3024 0.4050
Se 0.7273 0.8527 0.5342
Se 0.7727 0.1473 0.0342
Se 0.8953 0.6976 0.9050
Se 0.9270 0.2518 0.5013

---

Below is a geometry-optimized CsTeSe3 structure, with properties calculated at the PBE level.

Values from the calculation:
Energy relative to the elements, uncorrected, eV per atom: -0.357
Total moment, μB/cell: 0.00

Lattice parameters (Å, degrees): 8.7645 9.3880 8.5333 90.00 90.00 90.00
Fractional coordinates of all 20 atoms:
Cs 0.0350 0.2500 0.0753
Cs 0.4650 0.7500 0.5753
Cs 0.5350 0.2500 0.4247
Cs 0.9650 0.7500 0.9247
Te 0.0000 0.0000 0.5000
Te 0.0000 0.5000 0.5000
Te 0.5000 0.0000 0.0000
Te 0.5000 0.5000 0.0000
Se 0.1710 0.2500 0.6496
Se 0.2465 0.5306 0.2956
Se 0.2465 0.9694 0.2956
Se 0.2535 0.0306 0.7956
Se 0.2535 0.4694 0.7956
Se 0.3290 0.7500 0.1496
Se 0.6710 0.2500 0.8504
Se 0.7465 0.5306 0.2044
Se 0.7465 0.9694 0.2044
Se 0.7535 0.0306 0.7044
Se 0.7535 0.4694 0.7044
Se 0.8290 0.7500 0.3504

---

Below is a geometry-optimized CsTe2Se2 structure, with properties calculated at the PBE level.

Values from the calculation:
Energy relative to the elements, uncorrected, eV per atom: -0.395
E above lowest polymorph, meV per atom: 0.0
Total moment, μB/cell: 0.00

Lattice parameters (Å, degrees): 5.3761 6.1045 6.8135 89.68 67.81 89.99
Fractional coordinates of all 5 atoms:
Cs 0.0000 0.0000 0.0000
Te 0.2773 0.2561 0.4284
Te 0.7227 0.7439 0.5716
Se 0.2649 0.7520 0.4374
Se 0.7351 0.2480 0.5626

---

Below is a geometry-optimized CsTe3Se3 structure, with properties calculated at the PBE level.

Values from the calculation:
Energy relative to the elements, uncorrected, eV per atom: -0.225
E above lowest polymorph, meV per atom: 7.9
Total moment, μB/cell: 0.00

Lattice parameters (Å, degrees): 8.1368 8.3387 8.7809 97.72 109.97 94.35
Fractional coordinates of all 14 atoms:
Cs 0.1490 0.2030 0.3802
Cs 0.8510 0.7970 0.6198
Te 0.0609 0.3188 0.8069
Te 0.2036 0.6752 0.0136
Te 0.3504 0.7853 0.5035
Te 0.6496 0.2147 0.4965
Te 0.7964 0.3248 0.9864
Te 0.9391 0.6812 0.1931
Se 0.3111 0.1857 0.0189
Se 0.4295 0.6312 0.8367
Se 0.4330 0.9009 0.2704
Se 0.5670 0.0991 0.7296
Se 0.5705 0.3688 0.1633
Se 0.6889 0.8143 0.9811

---

Below is a geometry-optimized Cs2Te2Se5 structure, with properties calculated at the PBE level.

Values from the calculation:
Energy relative to the elements, uncorrected, eV per atom: -0.460
Total moment, μB/cell: 0.00

Lattice parameters (Å, degrees): 8.8445 8.8445 8.9919 112.07 112.07 36.38
Fractional coordinates of all 9 atoms:
Cs 0.0629 0.0629 0.3167
Cs 0.9371 0.9371 0.6833
Te 0.3469 0.3469 0.0573
Te 0.6531 0.6531 0.9427
Se 0.1727 0.1727 0.0266
Se 0.4193 0.4193 0.3656
Se 0.5000 0.5000 0.0000
Se 0.5807 0.5807 0.6344
Se 0.8273 0.8273 0.9734